# 1
# PmAl2B6 | the Alexandria database | PBE | optimized geometry
data_PmAl2B6
_cell_length_a 3.184
_cell_length_b 6.827
_cell_length_c 8.365
_cell_angle_alpha 90.00
_cell_angle_beta 90.00
_cell_angle_gamma 90.00
_symmetry_space_group_name_H-M 'I m m m'
_symmetry_Int_Tables_number 71
_symmetry_space_group_name_Hall '-I 2 2'
loop_
_atom_site_label
_atom_site_fract_x
_atom_site_fract_y
_atom_site_fract_z
Pm1 0.000 0.000 0.000
Al1 0.000 0.500 0.157
B1 0.000 0.139 0.500
B2 0.000 0.239 0.303
# **ΔE_f**: -200.2 meV/atom
# **E**: -6.011 eV/atom
# **Magnetic moment**: 0.000 μB per cell
# **ρ**: 4.8 Mg/m³

---

# 2
# Pm4Al2B | the Alexandria database | PBE | optimized geometry
data_Pm4Al2B
_cell_length_a 5.123
_cell_length_b 5.123
_cell_length_c 15.087
_cell_angle_alpha 90.00
_cell_angle_beta 90.00
_cell_angle_gamma 90.00
_symmetry_space_group_name_H-M 'I 4/m m m'
_symmetry_Int_Tables_number 139
_symmetry_space_group_name_Hall '-I 4 2'
loop_
_atom_site_label
_atom_site_fract_x
_atom_site_fract_y
_atom_site_fract_z
Pm1 0.000 0.000 0.177
Pm2 0.000 0.500 0.000
Al1 0.000 0.000 0.378
B1 0.000 0.000 0.000
# **ΔE_f**: -47.6 meV/atom
# **E**: -4.785 eV/atom
# **Magnetic moment**: 0.000 μB per cell
# **ρ**: 5.4 Mg/m³

---

# 3
# Pm3AlB2Pt8 | the Alexandria database | PBE | optimized geometry
data_Pm3AlB2Pt8
_cell_length_a 5.5241
_cell_length_b 5.5241
_cell_length_c 9.5972
_cell_angle_alpha 90.00
_cell_angle_beta 90.00
_cell_angle_gamma 120.00
_symmetry_space_group_name_H-M 'P -3 m 1'
_symmetry_Int_Tables_number 164
_symmetry_space_group_name_Hall '-P 3 2"'
loop_
_atom_site_label
_atom_site_fract_x
_atom_site_fract_y
_atom_site_fract_z
Pm1 0.0000 0.0000 0.0000
Pm2 0.3333 0.6667 0.5890
Al1 0.0000 0.0000 0.5000
B1 0.3333 0.6667 0.1345
Pt1 0.1665 0.3329 0.2830
Pt2 0.3333 0.6667 0.9283
# **ΔE_f**: -776.5 meV/atom
# **E**: -6.468 eV/atom
# **Magnetic moment**: 0.000 μB per cell
# **ρ**: 13.4 Mg/m³

---

# 4
# Pm2AlBPt6 | the Alexandria database | PBE | optimized geometry
data_Pm2AlBPt6
_cell_length_a 5.733
_cell_length_b 8.698
_cell_length_c 7.354
_cell_angle_alpha 90.00
_cell_angle_beta 90.00
_cell_angle_gamma 90.00
_symmetry_space_group_name_H-M 'P m m n'
_symmetry_Int_Tables_number 59
loop_
_symmetry_equiv_pos_as_xyz
'x,y,z'
'-x,-y,-z'
'-x+1/2,-y+1/2,z'
'x+1/2,y+1/2,-z'
'x+1/2,-y,-z'
'-x+1/2,y,z'
'-x,y+1/2,-z'
'x,-y+1/2,z'
loop_
_atom_site_label
_atom_site_fract_x
_atom_site_fract_y
_atom_site_fract_z
Pm1 0.250 0.033 0.213
Al1 0.250 0.750 0.815
B1 0.250 0.250 0.695
Pt1 0.002 0.250 0.911
Pt2 0.012 0.750 0.509
Pt3 0.250 0.005 0.645
# **ΔE_f**: -947.5 meV/atom
# **E**: -6.564 eV/atom
# **Magnetic moment**: 0.000 μB per cell
# **ρ**: 13.6 Mg/m³

---

# 5
# Pm2AlB2Rh5 | the Alexandria database | PBE | optimized geometry
data_Pm2AlB2Rh5
_cell_length_a 9.664
_cell_length_b 9.664
_cell_length_c 3.198
_cell_angle_alpha 90.00
_cell_angle_beta 90.00
_cell_angle_gamma 90.00
_symmetry_space_group_name_H-M 'P 4/m b m'
_symmetry_Int_Tables_number 127
_symmetry_space_group_name_Hall '-P 4 2ab'
loop_
_atom_site_label
_atom_site_fract_x
_atom_site_fract_y
_atom_site_fract_z
Pm1 0.177 0.323 0.000
Al1 0.000 0.000 0.000
B1 0.121 0.621 0.000
Rh1 0.000 0.500 0.500
Rh2 0.069 0.779 0.500
# **ΔE_f**: -754.1 meV/atom
# **E**: -7.090 eV/atom
# **Magnetic moment**: 0.000 μB per cell
# **ρ**: 9.5 Mg/m³

---

# 6
# Pm3Al2BRu3 | the Alexandria database | PBE | optimized geometry
data_Pm3Al2BRu3
_cell_length_a 7.4138
_cell_length_b 7.4138
_cell_length_c 3.6000
_cell_angle_alpha 90.00
_cell_angle_beta 90.00
_cell_angle_gamma 120.00
_symmetry_space_group_name_H-M 'P -6 2 m'
_symmetry_Int_Tables_number 189
_symmetry_space_group_name_Hall 'P -6 -2'
loop_
_atom_site_label
_atom_site_fract_x
_atom_site_fract_y
_atom_site_fract_z
Pm1 0.0000 0.3597 0.0000
Al1 0.3333 0.6667 0.5000
B1 0.0000 0.0000 0.0000
Ru1 0.0000 0.7776 0.5000
# **ΔE_f**: -198.0 meV/atom
# **E**: -6.447 eV/atom
# **Magnetic moment**: 0.000 μB per cell
# **ρ**: 7.8 Mg/m³

---

# 7
# Pm2Al2BRu2 | the Alexandria database | PBE | optimized geometry
data_Pm2Al2BRu2
_cell_length_a 10.687
_cell_length_b 4.433
_cell_length_c 7.375
_cell_angle_alpha 90.00
_cell_angle_beta 128.71
_cell_angle_gamma 90.00
_symmetry_space_group_name_H-M 'C 1 2/m 1'
_symmetry_Int_Tables_number 12
_symmetry_space_group_name_Hall '-C 2y'
loop_
_atom_site_label
_atom_site_fract_x
_atom_site_fract_y
_atom_site_fract_z
Pm1 0.060 0.000 0.323
Al1 0.164 0.500 0.106
B1 0.000 0.500 0.500
Ru1 0.208 0.500 0.811
# **ΔE_f**: -508.1 meV/atom
# **E**: -6.539 eV/atom
# **Magnetic moment**: 0.000 μB per cell
# **ρ**: 6.8 Mg/m³

---

# 8
# Pm2AlB2Ru5 | the Alexandria database | PBE | optimized geometry
data_Pm2AlB2Ru5
_cell_length_a 9.693
_cell_length_b 9.693
_cell_length_c 3.147
_cell_angle_alpha 90.00
_cell_angle_beta 90.00
_cell_angle_gamma 90.00
_symmetry_space_group_name_H-M 'P 4/m b m'
_symmetry_Int_Tables_number 127
_symmetry_space_group_name_Hall '-P 4 2ab'
loop_
_atom_site_label
_atom_site_fract_x
_atom_site_fract_y
_atom_site_fract_z
Pm1 0.177 0.323 0.000
Al1 0.000 0.000 0.000
B1 0.124 0.624 0.000
Ru1 0.000 0.500 0.500
Ru2 0.068 0.781 0.500
# **ΔE_f**: -376.0 meV/atom
# **E**: -7.674 eV/atom
# **Magnetic moment**: 0.000 μB per cell
# **ρ**: 9.5 Mg/m³

---

# 9
# PmAl2Tc2B | the Alexandria database | PBE | optimized geometry
data_PmAl2Tc2B
_cell_length_a 4.269
_cell_length_b 4.269
_cell_length_c 5.574
_cell_angle_alpha 90.00
_cell_angle_beta 90.00
_cell_angle_gamma 90.00
_symmetry_space_group_name_H-M 'P 4/m m m'
_symmetry_Int_Tables_number 123
_symmetry_space_group_name_Hall '-P 4 2'
loop_
_atom_site_label
_atom_site_fract_x
_atom_site_fract_y
_atom_site_fract_z
Pm1 0.000 0.000 0.000
Al1 0.500 0.500 0.240
Tc1 0.000 0.500 0.500
B1 0.000 0.000 0.500
# **ΔE_f**: -469.2 meV/atom
# **E**: -7.077 eV/atom
# **Magnetic moment**: 0.000 μB per cell
# **ρ**: 6.6 Mg/m³

---

# 10
# PrAlB | the Alexandria database | PBE | optimized geometry
data_PrAlB
_cell_length_a 7.944
_cell_length_b 4.599
_cell_length_c 7.028
_cell_angle_alpha 90.00
_cell_angle_beta 112.40
_cell_angle_gamma 90.00
_symmetry_space_group_name_H-M 'C 1 2/m 1'
_symmetry_Int_Tables_number 12
_symmetry_space_group_name_Hall '-C 2y'
loop_
_atom_site_label
_atom_site_fract_x
_atom_site_fract_y
_atom_site_fract_z
Pr1 0.101 0.000 0.301
Al1 0.152 0.500 0.958
B1 0.038 0.500 0.619
# **ΔE_f**: -276.7 meV/atom
# **E**: -5.343 eV/atom
# **Magnetic moment**: 0.000 μB per cell
# **ρ**: 5.0 Mg/m³

---

# 11
# Pr2AlBPt6 | the Alexandria database | PBE | optimized geometry
data_Pr2AlBPt6
_cell_length_a 5.881
_cell_length_b 5.881
_cell_length_c 10.594
_cell_angle_alpha 90.00
_cell_angle_beta 90.00
_cell_angle_gamma 90.00
_symmetry_space_group_name_H-M 'I 4 m m'
_symmetry_Int_Tables_number 107
_symmetry_space_group_name_Hall 'I 4 -2'
loop_
_atom_site_label
_atom_site_fract_x
_atom_site_fract_y
_atom_site_fract_z
Pr1 0.000 0.500 0.000
Al1 0.000 0.000 0.350
B1 0.000 0.000 0.859
Pt1 0.000 0.000 0.059
Pt2 0.000 0.000 0.570
Pt3 0.237 0.237 0.752
# **ΔE_f**: -904.7 meV/atom
# **E**: -6.527 eV/atom
# **Magnetic moment**: 0.000 μB per cell
# **ρ**: 13.5 Mg/m³

---

# 12
# Pr2AlB3Rh12 | the Alexandria database | PBE | optimized geometry
data_Pr2AlB3Rh12
_cell_length_a 7.6363
_cell_length_b 7.6363
_cell_length_c 16.8150
_cell_angle_alpha 90.00
_cell_angle_beta 90.00
_cell_angle_gamma 120.00
_symmetry_space_group_name_H-M 'R -3 m'
_symmetry_Int_Tables_number 166
_symmetry_space_group_name_Hall '-R 3 2"'
loop_
_atom_site_label
_atom_site_fract_x
_atom_site_fract_y
_atom_site_fract_z
Pr1 0.0000 0.0000 0.0927
Al1 0.0000 0.0000 0.5000
B1 0.0000 0.5000 0.0000
Rh1 0.0450 0.5225 0.8760
Rh2 0.0752 0.5376 0.3069
# **ΔE_f**: -201.4 meV/atom
# **E**: -6.954 eV/atom
# **Magnetic moment**: 0.000 μB per cell
# **ρ**: 9.2 Mg/m³

---

Question: Which formula does entry 11 have?
Answer: Pr2AlBPt6

---

Question: Which formula does entry 10 have?
Answer: PrAlB

---

Repeat the fifth record exactly.
# Pm2AlB2Rh5 | the Alexandria database | PBE | optimized geometry
data_Pm2AlB2Rh5
_cell_length_a 9.664
_cell_length_b 9.664
_cell_length_c 3.198
_cell_angle_alpha 90.00
_cell_angle_beta 90.00
_cell_angle_gamma 90.00
_symmetry_space_group_name_H-M 'P 4/m b m'
_symmetry_Int_Tables_number 127
_symmetry_space_group_name_Hall '-P 4 2ab'
loop_
_atom_site_label
_atom_site_fract_x
_atom_site_fract_y
_atom_site_fract_z
Pm1 0.177 0.323 0.000
Al1 0.000 0.000 0.000
B1 0.121 0.621 0.000
Rh1 0.000 0.500 0.500
Rh2 0.069 0.779 0.500
# **ΔE_f**: -754.1 meV/atom
# **E**: -7.090 eV/atom
# **Magnetic moment**: 0.000 μB per cell
# **ρ**: 9.5 Mg/m³

---

What did the fourth record say?
# Pm2AlBPt6 | the Alexandria database | PBE | optimized geometry
data_Pm2AlBPt6
_cell_length_a 5.733
_cell_length_b 8.698
_cell_length_c 7.354
_cell_angle_alpha 90.00
_cell_angle_beta 90.00
_cell_angle_gamma 90.00
_symmetry_space_group_name_H-M 'P m m n'
_symmetry_Int_Tables_number 59
loop_
_symmetry_equiv_pos_as_xyz
'x,y,z'
'-x,-y,-z'
'-x+1/2,-y+1/2,z'
'x+1/2,y+1/2,-z'
'x+1/2,-y,-z'
'-x+1/2,y,z'
'-x,y+1/2,-z'
'x,-y+1/2,z'
loop_
_atom_site_label
_atom_site_fract_x
_atom_site_fract_y
_atom_site_fract_z
Pm1 0.250 0.033 0.213
Al1 0.250 0.750 0.815
B1 0.250 0.250 0.695
Pt1 0.002 0.250 0.911
Pt2 0.012 0.750 0.509
Pt3 0.250 0.005 0.645
# **ΔE_f**: -947.5 meV/atom
# **E**: -6.564 eV/atom
# **Magnetic moment**: 0.000 μB per cell
# **ρ**: 13.6 Mg/m³